Record 1
{"formula": "InSb2Pb", "functional": "GGA-PBE", "state": "optimized geometry", "formation_energy_uncorrected_ev_per_atom": 0.140, "spacegroup": "No. 166", "relative_energy_ev_per_fu": 0.362, "lattice_angstrom": [[1.7361, 1.0024, 10.9871], [-1.7361, 1.0024, 10.9871], [0.0000, -2.0047, 10.9871]], "species": ["In", "Sb", "Sb", "Pb"], "fractional_positions": [[0.0000, 0.0000, 0.0000], [0.2519, 0.2519, 0.2519], [0.7481, 0.7481, 0.7481], [0.5000, 0.5000, 0.5000]]}



Record 2
{"formula": "HfFeIN2", "functional": "GGA-PBE", "state": "optimized geometry", "formation_energy_uncorrected_ev_per_atom": 1.114, "spacegroup": "No. 123", "relative_energy_ev_per_fu": 2.283, "lattice_angstrom": [[3.9424, 0.0000, 0.0000], [0.0000, 3.9424, 0.0000], [0.0000, 0.0000, 4.8874]], "species": ["Hf", "Fe", "I", "N", "N"], "fractional_positions": [[0.0000, 0.0000, 0.0000], [0.5000, 0.5000, 0.5000], [0.5000, 0.5000, 0.0000], [0.0000, 0.5000, 0.5000], [0.5000, 0.0000, 0.5000]]}



Record 3
{"formula": "In7Hg3", "functional": "GGA-PBE", "state": "optimized geometry", "formation_enthalpy_0k_ev_per_atom": 0.015, "spacegroup": "No. 2", "relative_energy_ev_per_fu": 0.000, "lattice_angstrom": [[5.6094, 0.0000, 0.0000], [2.5260, 6.7300, 0.0000], [1.3850, 1.5272, 7.0986]], "species": ["In", "In", "In", "In", "In", "In", "In", "Hg", "Hg", "Hg"], "fractional_positions": [[0.0000, 0.0000, 0.0000], [0.2002, 0.5980, 0.7920], [0.3917, 0.2070, 0.5898], [0.3991, 0.1965, 0.1053], [0.6009, 0.8035, 0.8947], [0.6083, 0.7930, 0.4102], [0.7998, 0.4020, 0.2080], [0.0000, 0.0000, 0.5000], [0.2036, 0.6040, 0.2931], [0.7964, 0.3960, 0.7069]]}



Record 4
{"formula": "TbDyMgIr", "functional": "GGA-PBE", "state": "optimized geometry", "formation_enthalpy_0k_ev_per_atom": -0.445, "spacegroup": "No. 216", "lattice_angstrom": [[0.0000, 3.5614, 3.5614], [3.5614, 0.0000, 3.5614], [3.5614, 3.5614, 0.0000]], "species": ["Tb", "Dy", "Mg", "Ir"], "fractional_positions": [[0.0000, 0.0000, 0.0000], [0.5000, 0.5000, 0.5000], [0.2500, 0.2500, 0.2500], [0.7500, 0.7500, 0.7500]]}



Record 5
{"formula": "TeAsCl3F6", "functional": "GGA-PBE", "state": "optimized geometry", "formation_energy_uncorrected_ev_per_atom": -1.606, "spacegroup": "No. 14", "lattice_angstrom": [[8.9526, 0.0000, 0.0000], [0.0000, 10.4528, 0.0000], [-5.5983, 0.0000, 10.6525]], "species": ["Te", "Te", "Te", "Te", "As", "As", "As", "As", "Cl", "Cl", "Cl", "Cl", "Cl", "Cl", "Cl", "Cl", "Cl", "Cl", "Cl", "Cl", "F", "F", "F", "F", "F", "F", "F", "F", "F", "F", "F", "F", "F", "F", "F", "F", "F", "F", "F", "F", "F", "F", "F", "F"], "fractional_positions": [[0.2471, 0.1628, 0.3113], [0.2471, 0.3372, 0.8113], [0.7529, 0.6628, 0.1887], [0.7529, 0.8372, 0.6887], [0.4102, 0.6820, 0.7965], [0.4102, 0.8180, 0.2965], [0.5898, 0.1820, 0.7035], [0.5898, 0.3180, 0.2035], [0.0183, 0.1624, 0.1119], [0.0183, 0.3376, 0.6119], [0.0922, 0.1019, 0.4127], [0.0922, 0.3981, 0.9127], [0.2439, 0.1206, 0.8474], [0.2439, 0.3794, 0.3474], [0.7561, 0.6206, 0.6526], [0.7561, 0.8794, 0.1526], [0.9078, 0.6019, 0.0873], [0.9078, 0.8981, 0.5873], [0.9817, 0.6624, 0.3881], [0.9817, 0.8376, 0.8881], [0.2239, 0.5943, 0.7714], [0.2239, 0.9057, 0.2714], [0.3185, 0.6757, 0.3108], [0.3185, 0.8243, 0.8108], [0.3334, 0.7047, 0.6348], [0.3334, 0.7953, 0.1348], [0.3975, 0.2360, 0.1716], [0.3975, 0.2640, 0.6716], [0.4917, 0.6565, 0.9636], [0.4917, 0.8435, 0.4636], [0.4965, 0.0350, 0.7093], [0.4965, 0.4650, 0.2093], [0.5035, 0.5350, 0.7907], [0.5035, 0.9650, 0.2907], [0.5083, 0.1565, 0.5364], [0.5083, 0.3435, 0.0364], [0.6025, 0.7360, 0.3284], [0.6025, 0.7640, 0.8284], [0.6666, 0.2047, 0.8652], [0.6666, 0.2953, 0.3652], [0.6815, 0.1757, 0.1892], [0.6815, 0.3243, 0.6892], [0.7761, 0.0943, 0.7286], [0.7761, 0.4057, 0.2286]]}